Entry from Alexandria: an optimized crystal structure of K2PuInCl6 (PBE).

a b c (Å): 7.560 8.095 13.213
angles (deg): 90.00 124.07 90.00
Fractional coordinates of all 20 atoms:
K  0.217  0.075  0.247
K  0.217  0.425  0.747
K  0.783  0.575  0.253
K  0.783  0.925  0.753
Pu  0.500  0.000  0.000
Pu  0.500  0.500  0.500
In  0.000  0.000  0.500
In  0.000  0.500  0.000
Cl  0.148  0.181  0.935
Cl  0.148  0.319  0.435
Cl  0.256  0.719  0.924
Cl  0.256  0.781  0.424
Cl  0.408  0.063  0.772
Cl  0.408  0.437  0.272
Cl  0.592  0.563  0.728
Cl  0.592  0.937  0.228
Cl  0.744  0.219  0.576
Cl  0.744  0.281  0.076
Cl  0.852  0.681  0.565
Cl  0.852  0.819  0.065

## Properties
Raw formation energy: -1673.4 kJ/mol of formula units
Space group: P2_1/c, No. 14

Entry from Alexandria: an optimized crystal structure of AcPaPb2 (PBE).

a b c (Å): 12.628 12.628 12.628
angles (deg): 15.84 15.84 15.84
Fractional coordinates of all 4 atoms:
Ac  0.000  0.000  0.000
Pa  0.500  0.500  0.500
Pb  0.092  0.092  0.092
Pb  0.908  0.908  0.908

## Properties
Space group: R-3m, No. 166
Formation enthalpy at 0 K: 196 meV/atom

Entry from Alexandria: an optimized crystal structure of BeAsI3 (PBE).

a b c (Å): 5.208 5.208 5.208
angles (deg): 90.00 90.00 90.00
Fractional coordinates of all 5 atoms:
Be  0.000  0.000  0.000
As  0.500  0.500  0.500
I  0.000  0.000  0.500
I  0.000  0.500  0.000
I  0.500  0.000  0.000

## Properties
Raw formation energy: 227.2 kJ/mol of formula units
Space group: Pm-3m, No. 221

What did the first record say?
Entry from Alexandria: an optimized crystal structure of K2PuInCl6 (PBE).

a b c (Å): 7.560 8.095 13.213
angles (deg): 90.00 124.07 90.00
Fractional coordinates of all 20 atoms:
K  0.217  0.075  0.247
K  0.217  0.425  0.747
K  0.783  0.575  0.253
K  0.783  0.925  0.753
Pu  0.500  0.000  0.000
Pu  0.500  0.500  0.500
In  0.000  0.000  0.500
In  0.000  0.500  0.000
Cl  0.148  0.181  0.935
Cl  0.148  0.319  0.435
Cl  0.256  0.719  0.924
Cl  0.256  0.781  0.424
Cl  0.408  0.063  0.772
Cl  0.408  0.437  0.272
Cl  0.592  0.563  0.728
Cl  0.592  0.937  0.228
Cl  0.744  0.219  0.576
Cl  0.744  0.281  0.076
Cl  0.852  0.681  0.565
Cl  0.852  0.819  0.065

## Properties
Raw formation energy: -1673.4 kJ/mol of formula units
Space group: P2_1/c, No. 14